Entry 1:
Below is a relaxed structure of Cs2MnTlS4, with properties calculated at the PBE level.

The calculation puts the density of states at the Fermi level at 6.1 states/eV per cell. As for the uncorrected formation energy: -548 kJ/mol of formula units.

```
data_Cs2MnTlS4
_chemical_formula_sum 'Cs16 Mn8 Tl8 S32'
_symmetry_space_group_name_H-M 'F d d d'
_symmetry_Int_Tables_number 70
_cell_length_a 7.134
_cell_length_b 13.213
_cell_length_c 24.387
_cell_angle_alpha 90.00
_cell_angle_beta 90.00
_cell_angle_gamma 90.00
loop_
_symmetry_equiv_pos_as_xyz
'x,y,z'
'-x,-y,-z'
'-x+1/4,-y+1/4,z'
'x+1/4,y+1/4,-z'
'x,-y+1/4,-z+1/4'
'-x,y+1/4,z+1/4'
'-x+1/4,y,-z+1/4'
'x+1/4,-y,z+1/4'
'x,y+1/2,z+1/2'
'-x,-y+1/2,-z+1/2'
'-x+1/4,-y+3/4,z+1/2'
'x+1/4,y+3/4,-z+1/2'
'x,-y+3/4,-z+3/4'
'-x,y+3/4,z+3/4'
'-x+1/4,y+1/2,-z+3/4'
'x+1/4,-y+1/2,z+3/4'
'x+1/2,y,z+1/2'
'-x+1/2,-y,-z+1/2'
'-x+3/4,-y+1/4,z+1/2'
'x+3/4,y+1/4,-z+1/2'
'x+1/2,-y+1/4,-z+3/4'
'-x+1/2,y+1/4,z+3/4'
'-x+3/4,y,-z+3/4'
'x+3/4,-y,z+3/4'
'x+1/2,y+1/2,z'
'-x+1/2,-y+1/2,-z'
'-x+3/4,-y+3/4,z'
'x+3/4,y+3/4,-z'
'x+1/2,-y+3/4,-z+1/4'
'-x+1/2,y+3/4,z+1/4'
'-x+3/4,y+1/2,-z+1/4'
'x+3/4,-y+1/2,z+1/4'
loop_
_atom_site_label
_atom_site_type_symbol
_atom_site_fract_x
_atom_site_fract_y
_atom_site_fract_z
Cs1 Cs 0.125 0.125 0.304
Mn1 Mn 0.125 0.125 0.625
Tl1 Tl 0.125 0.125 0.125
S1 S 0.067 0.287 0.827
```

***

Entry 2:
Below is a relaxed structure of PrNpNi10, with properties calculated at the PBE level.

The calculation puts the density of states at the Fermi level at 19.4 states/eV per cell.

```
data_PrNpNi10
_chemical_formula_sum 'Pr1 Np1 Ni10'
_symmetry_space_group_name_H-M 'P m m m'
_symmetry_Int_Tables_number 47
_cell_length_a 3.969
_cell_length_b 4.913
_cell_length_c 8.517
_cell_angle_alpha 90.00
_cell_angle_beta 90.00
_cell_angle_gamma 90.00
loop_
_symmetry_equiv_pos_as_xyz
'x,y,z'
'-x,-y,-z'
'-x,-y,z'
'x,y,-z'
'x,-y,-z'
'-x,y,z'
'-x,y,-z'
'x,-y,z'
loop_
_atom_site_label
_atom_site_type_symbol
_atom_site_fract_x
_atom_site_fract_y
_atom_site_fract_z
Pr1 Pr 0.000 0.000 0.000
Np1 Np 0.000 0.500 0.500
Ni1 Ni 0.000 0.000 0.340
Ni2 Ni 0.000 0.500 0.178
Ni3 Ni 0.500 0.000 0.500
Ni4 Ni 0.500 0.254 0.257
Ni5 Ni 0.500 0.500 0.000
```

***

Entry 3:
Below is a relaxed structure of CdIn2GeAs4, with properties calculated at the PBE level.

The calculation puts the density of states at the Fermi level at 1.1 states/eV per cell.

```
data_CdIn2GeAs4
_chemical_formula_sum 'Cd2 In4 Ge2 As8'
_symmetry_space_group_name_H-M 'I -4 2 m'
_symmetry_Int_Tables_number 121
_symmetry_space_group_name_Hall 'I -4 2'
_cell_length_a 6.119
_cell_length_b 6.119
_cell_length_c 11.921
_cell_angle_alpha 90.00
_cell_angle_beta 90.00
_cell_angle_gamma 90.00
loop_
_atom_site_label
_atom_site_type_symbol
_atom_site_fract_x
_atom_site_fract_y
_atom_site_fract_z
Cd1 Cd 0.000 0.000 0.000
In1 In 0.000 0.500 0.250
Ge1 Ge 0.000 0.000 0.500
As1 As 0.236 0.236 0.381
```

***

Entry 4:
Below is a relaxed structure of Y2FeWCl, with properties calculated at the PBE level.

The calculation puts the density of states at the Fermi level at 7.2 states/eV per cell. As for the uncorrected formation energy: 460 kJ/mol of formula units.

```
data_Y2FeWCl
_chemical_formula_sum 'Y2 Fe1 W1 Cl1'
_symmetry_space_group_name_H-M 'P 4/m m m'
_symmetry_Int_Tables_number 123
_symmetry_space_group_name_Hall '-P 4 2'
_cell_length_a 5.577
_cell_length_b 5.577
_cell_length_c 4.485
_cell_angle_alpha 90.00
_cell_angle_beta 90.00
_cell_angle_gamma 90.00
loop_
_atom_site_label
_atom_site_type_symbol
_atom_site_fract_x
_atom_site_fract_y
_atom_site_fract_z
Y1 Y 0.000 0.500 0.000
Fe1 Fe 0.000 0.000 0.500
W1 W 0.500 0.500 0.000
Cl1 Cl 0.500 0.500 0.500
```

***

Entry 5:
Below is a relaxed structure of Sr2AlNi, with properties calculated at the PBE level.

The calculation puts the density of states at the Fermi level at 4.2 states/eV per cell.

```
data_Sr2AlNi
_chemical_formula_sum 'Sr4 Al2 Ni2'
_symmetry_space_group_name_H-M 'C 1 2/m 1'
_symmetry_Int_Tables_number 12
_cell_length_a 7.075
_cell_length_b 4.029
_cell_length_c 9.037
_cell_angle_alpha 90.00
_cell_angle_beta 104.48
_cell_angle_gamma 90.00
loop_
_symmetry_equiv_pos_as_xyz
'x,y,z'
'-x,-y,-z'
'-x,y,-z'
'x,-y,z'
'x+1/2,y+1/2,z'
'-x+1/2,-y+1/2,-z'
'-x+1/2,y+1/2,-z'
'x+1/2,-y+1/2,z'
loop_
_atom_site_label
_atom_site_type_symbol
_atom_site_fract_x
_atom_site_fract_y
_atom_site_fract_z
Sr1 Sr 0.235 0.000 0.206
Al1 Al 0.000 0.000 0.500
Ni1 Ni 0.000 0.500 0.000
```

***

Entry 6:
Below is a relaxed structure of CePuMoN3, with properties calculated at the PBE level.

The calculation puts the density of states at the Fermi level at 15.6 states/eV per cell. As for the uncorrected formation energy: -529 kJ/mol of formula units.

```
data_CePuMoN3
_chemical_formula_sum 'Ce2 Pu2 Mo2 N6'
_symmetry_space_group_name_H-M 'P 1 21/m 1'
_symmetry_Int_Tables_number 11
_cell_length_a 7.344
_cell_length_b 3.304
_cell_length_c 7.762
_cell_angle_alpha 90.00
_cell_angle_beta 96.78
_cell_angle_gamma 90.00
loop_
_symmetry_equiv_pos_as_xyz
'x,y,z'
'-x,-y,-z'
'-x,y+1/2,-z'
'x,-y+1/2,z'
loop_
_atom_site_label
_atom_site_type_symbol
_atom_site_fract_x
_atom_site_fract_y
_atom_site_fract_z
Ce1 Ce 0.158 0.250 0.178
Pu1 Pu 0.365 0.750 0.837
Mo1 Mo 0.111 0.250 0.584
N1 N 0.123 0.250 0.855
N2 N 0.176 0.750 0.423
N3 N 0.408 0.750 0.119
```

***

Entry 7:
Below is a relaxed structure of Pm4TlPt, with properties calculated at the PBE level.

The calculation puts the density of states at the Fermi level at 99.0 states/eV per cell.

```
data_Pm4TlPt
_chemical_formula_sum 'Pm64 Tl16 Pt16'
_symmetry_space_group_name_H-M 'F -4 3 m'
_symmetry_Int_Tables_number 216
_symmetry_space_group_name_Hall 'F -4 2 3'
_cell_length_a 14.147
_cell_length_b 14.147
_cell_length_c 14.147
_cell_angle_alpha 90.00
_cell_angle_beta 90.00
_cell_angle_gamma 90.00
loop_
_atom_site_label
_atom_site_type_symbol
_atom_site_fract_x
_atom_site_fract_y
_atom_site_fract_z
Pm1 Pm 0.000 0.000 0.189
Pm2 Pm 0.060 0.250 0.750
Pm3 Pm 0.101 0.101 0.399
Tl1 Tl 0.165 0.165 0.165
Pt1 Pt 0.106 0.106 0.606
```

***

Entry 8:
Below is a relaxed structure of YRe2Sb, with properties calculated at the PBE level.

The calculation puts the density of states at the Fermi level at 7.7 states/eV per cell. As for the uncorrected formation energy: 283 kJ/mol of formula units.

```
data_YRe2Sb
_chemical_formula_sum 'Y2 Re4 Sb2'
_symmetry_space_group_name_H-M 'C m m m'
_symmetry_Int_Tables_number 65
_symmetry_space_group_name_Hall '-C 2 2'
_cell_length_a 3.431
_cell_length_b 5.075
_cell_length_c 8.911
_cell_angle_alpha 90.00
_cell_angle_beta 90.00
_cell_angle_gamma 90.00
loop_
_atom_site_label
_atom_site_type_symbol
_atom_site_fract_x
_atom_site_fract_y
_atom_site_fract_z
Y1 Y 0.000 0.000 0.000
Re1 Re 0.000 0.500 0.264
Sb1 Sb 0.000 0.000 0.500
```

***

Entry 9:
Below is a relaxed structure of La4Sm4Dy, with properties calculated at the PBE level.

The calculation puts the density of states at the Fermi level at 24.2 states/eV per cell. For the energy above the lowest structure with this stoichiometry, the calculation gives 2.305 eV per formula unit.

```
data_La4Sm4Dy
_chemical_formula_sum 'La8 Sm8 Dy2'
_symmetry_space_group_name_H-M 'C 1 m 1'
_symmetry_Int_Tables_number 8
_cell_length_a 7.168
_cell_length_b 7.165
_cell_length_c 13.207
_cell_angle_alpha 90.00
_cell_angle_beta 97.90
_cell_angle_gamma 90.00
loop_
_symmetry_equiv_pos_as_xyz
'x,y,z'
'x,-y,z'
'x+1/2,y+1/2,z'
'x+1/2,-y+1/2,z'
loop_
_atom_site_label
_atom_site_type_symbol
_atom_site_fract_x
_atom_site_fract_y
_atom_site_fract_z
La1 La 0.000 0.000 0.000
La2 La 0.000 0.500 0.016
La3 La 0.109 0.252 0.443
Sm1 Sm 0.199 0.251 0.810
Sm2 Sm 0.308 0.000 0.248
Sm3 Sm 0.312 0.500 0.249
Dy1 Dy 0.407 0.500 0.627
```

***

Entry 10:
Below is a relaxed structure of CdIn2Re, with properties calculated at the PBE level.

The calculation puts the density of states at the Fermi level at 15.2 states/eV per cell.

```
data_CdIn2Re
_chemical_formula_sum 'Cd4 In8 Re4'
_symmetry_space_group_name_H-M 'F -4 3 m'
_symmetry_Int_Tables_number 216
_symmetry_space_group_name_Hall 'F -4 2 3'
_cell_length_a 6.853
_cell_length_b 6.853
_cell_length_c 6.853
_cell_angle_alpha 90.00
_cell_angle_beta 90.00
_cell_angle_gamma 90.00
loop_
_atom_site_label
_atom_site_type_symbol
_atom_site_fract_x
_atom_site_fract_y
_atom_site_fract_z
Cd1 Cd 0.000 0.000 0.000
In1 In 0.000 0.000 0.500
In2 In 0.250 0.250 0.750
Re1 Re 0.250 0.250 0.250
```

***

| no. | magnetic moment (μB per formula unit) | V (Å³ per cell) | E (eV per atom) |
| --- | --- | --- | --- |
| 1 | 2.003 | 2298.8 | -4.429 |
| 2 | 0.388 | 166.1 | -6.491 |
| 3 | 0.000 | 446.3 | -3.865 |
| 4 | 2.559 | 139.5 | -6.285 |
| 5 | 0.000 | 249.4 | -2.985 |
| 6 | 4.962 | 187.0 | -10.259 |
| 7 | 0.000 | 2831.4 | -5.138 |
| 8 | 0.000 | 155.1 | -8.139 |
| 9 | 0.000 | 671.9 | -4.522 |
| 10 | 0.000 | 321.8 | -3.890 |